Tb2NdDyHo6, optimized geometry, DFT PBE; N(E_F) = 1.45 states/eV per atom; ΔE_f = 1.204 eV/f.u.; E_tot = -44.89 eV/f.u.
1.0
-4.9034 2.7187 -7.7152
-5.1282 -6.9377 1.5349
-1.6872 7.3897 4.3967
Ho Tb Nd Dy
12 4 2 2
direct
0.5573 0.7482 0.1237 Ho
0.9427 0.8763 0.2518 Ho
0.0573 0.1237 0.7482 Ho
0.3166 0.9807 0.4321 Ho
0.4427 0.2518 0.8763 Ho
0.3813 0.5083 0.2920 Ho
0.1834 0.5679 0.0193 Ho
0.6834 0.0193 0.5679 Ho
0.8813 0.2920 0.5083 Ho
0.6187 0.4917 0.7080 Ho
0.8166 0.4321 0.9807 Ho
0.1187 0.7080 0.4917 Ho
0.5455 0.1974 0.3023 Tb
0.4545 0.8026 0.6977 Tb
0.9545 0.6977 0.8026 Tb
0.0455 0.3023 0.1974 Tb
0.7500 0.0242 0.9758 Nd
0.2500 0.9758 0.0242 Nd
0.2500 0.4091 0.5909 Dy
0.7500 0.5909 0.4091 Dy